# PBE CeTm2TcO8, optimized geometry
data_CeTm2TcO8
_chemical_formula_sum 'Ce1 Tm2 Tc1 O8'
_cell_length_a 4.9703
_cell_length_b 4.9698
_cell_length_c 6.7763
_cell_angle_alpha 90.00
_cell_angle_beta 90.00
_cell_angle_gamma 90.99
_space_group_name_H-M_alt 'P 1'
_space_group_IT_number 1
_space_group_name_Hall 'P 1'
loop_
_atom_site_label
_atom_site_fract_x
_atom_site_fract_y
_atom_site_fract_z
Ce1 0.0000 0.0000 0.5000
Tm1 0.5000 0.5000 0.7541
Tm2 0.5000 0.5000 0.2459
Tc1 0.0000 0.0000 0.0000
O1 0.1864 0.8131 0.2150
O2 0.7263 0.7268 0.0000
O3 0.8136 0.1869 0.2150
O4 0.8136 0.1869 0.7850
O5 0.2737 0.2732 0.0000
O6 0.1864 0.8131 0.7850
O7 0.6921 0.6926 0.5000
O8 0.3079 0.3074 0.5000
# E in eV/atom: -8.165